Entry from Alexandria via LeMat-Bulk: a relaxed structure of AlReSi2 (PBE).

a b c (Å): 7.831 7.831 7.831
angles (deg): 22.15 22.15 22.15
Positions (direct):
1 Si 0.495 0.495 0.495
2 Si 0.005 0.005 0.005
3 Al 0.250 0.250 0.250
4 Re 0.750 0.750 0.750

Output
Total energy in Ha/atom: -0.246
E_form (uncorrected) in eV/atom: 0.07
Total moment in μB per formula unit: 0.0